# 1
The following is a DFT calculation (PBE) of NaHoSnBr6 after structural relaxation.

As for the uncorrected formation energy: -1.4137 eV/atom. The value obtained for the density is 4.3 Mg/m³.

It has space group P-31c (No. 163), with a = 7.3416 Å, b = 7.3416 Å, c = 13.0342 Å, α = 90.00°, β = 90.00° and γ = 120.00°. The distinct sites, in fractional coordinates, are Na at (0.3333, 0.6667, 0.2500), Ho at (0.3333, 0.6667, 0.7500), Sn at (0.0000, 0.0000, 0.0000) and Br at (0.0188, 0.3544, 0.6269).

---

# 2
The following is a DFT calculation (PBE) of Li6ErSn4 after structural relaxation.

As for the formation energy: -0.29 eV/atom. The value obtained for the density is 5.0 Mg/m³.

It has space group P-6m2 (No. 187), with a = 7.6141 Å, b = 7.6141 Å, c = 4.4859 Å, α = 90.00°, β = 90.00° and γ = 120.00°. The distinct sites, in fractional coordinates, are Li at (0.2031, 0.4062, 0.0000), Li at (0.2384, 0.1192, 0.5000), Er at (0.6667, 0.3333, 0.0000), Sn at (0.0000, 0.0000, 0.0000) and Sn at (0.0537, 0.5268, 0.5000).

---

# 3
The following is a DFT calculation (PBE) of NaPaHg2 after structural relaxation.

As for the formation energy: 0.11 eV/atom. The value obtained for the density is 11.0 Mg/m³.

It has space group Fm-3m (No. 225), with a = 7.335 Å, b = 7.335 Å, c = 7.335 Å, α = 90.00°, β = 90.00° and γ = 90.00°. The distinct sites, in fractional coordinates, are Na at (0.000, 0.000, 0.000), Pa at (0.000, 0.000, 0.500) and Hg at (0.250, 0.250, 0.250).

---

# 4
The following is a DFT calculation (PBE) of Hf2BeCdAg after structural relaxation.

As for the formation energy: 1.30 eV/atom. The value obtained for the density is 7.6 Mg/m³.

It has space group P4/mmm (No. 123), with a = 5.084 Å, b = 5.084 Å, c = 4.981 Å, α = 90.00°, β = 90.00° and γ = 90.00°. The distinct sites, in fractional coordinates, are Hf at (0.000, 0.500, 0.000), Be at (0.000, 0.000, 0.500), Cd at (0.500, 0.500, 0.500) and Ag at (0.500, 0.500, 0.000).

---

# 5
The following is a DFT calculation (PBE) of NbTlAg after structural relaxation.

As for the formation energy: 0.33 eV/atom. The value obtained for the density is 11.1 Mg/m³.

It has space group Cm (No. 8), with a = 10.386 Å, b = 3.844 Å, c = 6.325 Å, α = 90.00°, β = 107.01° and γ = 90.00°. The distinct sites, in fractional coordinates, are Nb at (0.000, 0.000, 0.000), Nb at (0.143, 0.500, 0.288), Tl at (0.314, 0.000, 0.125), Tl at (0.488, 0.500, 0.497), Ag at (0.160, 0.500, 0.800) and Ag at (0.321, 0.000, 0.645).

---

# 6
The following is a DFT calculation (PBE) of TeMoCl2 after structural relaxation.

As for the uncorrected formation energy: -0.1812 eV/atom. The value obtained for the density is 5.4 Mg/m³.

It has space group R3m (No. 160, hexagonal axes), with a = 3.4755 Å, b = 3.4755 Å, c = 25.9610 Å, α = 90.00°, β = 90.00° and γ = 120.00°. The distinct sites, in fractional coordinates, are Te at (0.0000, 0.0000, 0.0000), Mo at (0.0000, 0.0000, 0.7386), Cl at (0.0000, 0.0000, 0.2507) and Cl at (0.0000, 0.0000, 0.4660).

---

# 7
The following is a DFT calculation (PBE) of CaIrCl after structural relaxation.

As for the uncorrected formation energy: -1.2280 eV/atom. The value obtained for the density is 5.5 Mg/m³.

It has space group P1 (No. 1), with a = 4.125 Å, b = 4.126 Å, c = 10.980 Å, α = 100.39°, β = 91.09° and γ = 117.55°. The distinct sites, in fractional coordinates, are Ca at (0.000, 0.000, 0.000), Ca at (0.144, 0.267, 0.416), Ir at (0.393, 0.812, 0.208), Ir at (0.743, 0.462, 0.208), Cl at (0.295, 0.575, 0.868) and Cl at (0.531, 0.010, 0.548).

---

# 8
The following is a DFT calculation (PBE) of TcWN after structural relaxation.

As for the uncorrected formation energy: -0.0813 eV/atom. The value obtained for the density is 13.8 Mg/m³.

It has space group C2/m (No. 12), with a = 9.978 Å, b = 2.897 Å, c = 5.000 Å, α = 90.00°, β = 99.56° and γ = 90.00°. The distinct sites, in fractional coordinates, are Tc at (0.109, 0.000, 0.366), W at (0.110, 0.500, 0.874) and N at (0.250, 0.000, 0.755).

---

# 9
The following is a DFT calculation (PBE) of Rb12H5F3 after structural relaxation.

Its electronic total energy is -377.7 eV for the cell shown. The value obtained for the density is 2.2 Mg/m³.

It has space group Ia-3d (No. 230), with a = 18.795 Å, b = 18.795 Å, c = 18.795 Å, α = 90.00°, β = 90.00° and γ = 90.00°. The distinct sites, in fractional coordinates, are Rb at (0.020, 0.025, 0.343), H at (0.000, 0.000, 0.000), H at (0.000, 0.250, 0.375) and F at (0.000, 0.250, 0.125).

---

# 10
The following is a DFT calculation (PBE) of TmLuRuAu after structural relaxation.

As for the formation energy: -0.66 eV/atom. The value obtained for the density is 13.1 Mg/m³.

It has space group F-43m (No. 216), with a = 6.878 Å, b = 6.878 Å, c = 6.878 Å, α = 90.00°, β = 90.00° and γ = 90.00°. The distinct sites, in fractional coordinates, are Tm at (0.000, 0.000, 0.000), Lu at (0.000, 0.000, 0.500), Ru at (0.250, 0.250, 0.250) and Au at (0.250, 0.250, 0.750).

---

# 11
The following is a DFT calculation (PBE) of Ce2CuIr after structural relaxation.

As for the formation energy: -0.47 eV/atom. The value obtained for the density is 10.0 Mg/m³.

It has space group P2_1/m (No. 11), with a = 5.796 Å, b = 4.331 Å, c = 7.535 Å, α = 90.00°, β = 109.01° and γ = 90.00°. The distinct sites, in fractional coordinates, are Ce at (0.222, 0.250, 0.437), Ce at (0.224, 0.250, 0.927), Cu at (0.345, 0.750, 0.211) and Ir at (0.320, 0.750, 0.709).

---

# 12
The following is a DFT calculation (PBE) of CaPaPdPt after structural relaxation.

As for the formation energy: -0.65 eV/atom. The value obtained for the density is 11.0 Mg/m³.

It has space group F-43m (No. 216), with a = 7.013 Å, b = 7.013 Å, c = 7.013 Å, α = 90.00°, β = 90.00° and γ = 90.00°. The distinct sites, in fractional coordinates, are Ca at (0.000, 0.000, 0.000), Pa at (0.000, 0.000, 0.500), Pd at (0.250, 0.250, 0.250) and Pt at (0.250, 0.250, 0.750).